No. 1
Entry from Alexandria via LeMat-Bulk: a geometry-optimized MgZnCo2H8 structure (GGA-PBE).

The volume is 7.81 Å³ per atom. Its crystal system is trigonal. Its uncorrected energy is -41.76 eV/cell. The density of states at the Fermi level is 2.83 states/eV/f.u.

Lattice parameters (Å, degrees): 4.326 4.326 5.781 90.00 90.00 120.00
Fractional positions:
Mg  0.000  0.000  0.000
Zn  0.000  0.000  0.500
Co  0.333  0.667  0.125
Co  0.667  0.333  0.875
H  0.182  0.363  0.304
H  0.182  0.818  0.304
H  0.333  0.667  0.863
H  0.363  0.182  0.696
H  0.637  0.818  0.304
H  0.667  0.333  0.137
H  0.818  0.182  0.696
H  0.818  0.637  0.696

No. 2
Entry from Alexandria via LeMat-Bulk: a geometry-optimized CaNd2Mg structure (GGA-PBE).

The value obtained for the formation energy is 0.03 eV/atom. The volume is 32.87 Å³ per atom. Its crystal system is cubic. The calculation puts the energy relative to the lowest polymorph listed for this composition at 32 meV per atom. Its uncorrected energy is -13.02 eV/cell. The density of states at the Fermi level is 3.92 states/eV/f.u.

Lattice parameters (Å, degrees): 5.707 5.707 5.707 60.00 60.00 60.00
Fractional positions:
Ca  0.000  0.000  0.000
Nd  0.250  0.250  0.250
Nd  0.750  0.750  0.750
Mg  0.500  0.500  0.500

No. 3
Entry from Alexandria via LeMat-Bulk: a geometry-optimized Ga6SnPb2 structure (GGA-PBE).

The value obtained for the formation energy is 0.04 eV/atom. The volume is 22.99 Å³ per atom. Its crystal system is monoclinic. Its uncorrected energy is -29.23 eV/cell. The density of states at the Fermi level is 3.22 states/eV/f.u.

Lattice parameters (Å, degrees): 5.937 5.937 6.358 92.60 92.60 67.64
Fractional positions:
Ga  0.118  0.698  0.829
Ga  0.302  0.882  0.171
Ga  0.336  0.336  0.110
Ga  0.664  0.664  0.890
Ga  0.698  0.118  0.829
Ga  0.882  0.302  0.171
Sn  0.500  0.500  0.500
Pb  0.172  0.172  0.642
Pb  0.828  0.828  0.358

No. 4
Entry from Alexandria via LeMat-Bulk: a geometry-optimized CeHo4Ga15 structure (GGA-PBE).

The value obtained for the formation energy is -0.53 eV/atom. The volume is 19.52 Å³ per atom. Its crystal system is tetragonal. Its uncorrected energy is -80.26 eV/cell. The density of states at the Fermi level is 9.79 states/eV/f.u.

Lattice parameters (Å, degrees): 4.263 4.263 21.477 90.00 90.00 90.00
Fractional positions:
Ce  0.000  0.000  0.000
Ho  0.000  0.000  0.203
Ho  0.000  0.000  0.401
Ho  0.000  0.000  0.599
Ho  0.000  0.000  0.797
Ga  0.000  0.500  0.102
Ga  0.000  0.500  0.301
Ga  0.000  0.500  0.500
Ga  0.000  0.500  0.699
Ga  0.000  0.500  0.898
Ga  0.500  0.000  0.102
Ga  0.500  0.000  0.301
Ga  0.500  0.000  0.500
Ga  0.500  0.000  0.699
Ga  0.500  0.000  0.898
Ga  0.500  0.500  0.000
Ga  0.500  0.500  0.201
Ga  0.500  0.500  0.401
Ga  0.500  0.500  0.599
Ga  0.500  0.500  0.799

No. 5
Entry from Alexandria via LeMat-Bulk: a geometry-optimized SrDyPb2 structure (GGA-PBE).

The value obtained for the formation energy is -0.48 eV/atom. The volume is 30.93 Å³ per atom. Its crystal system is tetragonal. Its uncorrected energy is -15.60 eV/cell. The density of states at the Fermi level is 2.71 states/eV/f.u.

Lattice parameters (Å, degrees): 3.650 3.650 9.285 90.00 90.00 90.00
Fractional positions:
Sr  0.000  0.000  0.000
Dy  0.000  0.000  0.500
Pb  0.500  0.500  0.266
Pb  0.500  0.500  0.734

No. 6
Entry from Alexandria via LeMat-Bulk: a geometry-optimized CaH3Pt structure (GGA-PBE).

The volume is 10.26 Å³ per atom. Its crystal system is hexagonal. Its uncorrected energy is -37.50 eV/cell. The density of states at the Fermi level is 1.38 states/eV/f.u.

Lattice parameters (Å, degrees): 3.901 3.901 7.787 90.00 90.00 120.00
Fractional positions:
Ca  0.333  0.667  0.250
Ca  0.667  0.333  0.750
H  0.000  0.000  0.250
H  0.000  0.000  0.750
H  0.333  0.667  0.560
H  0.333  0.667  0.940
H  0.667  0.333  0.060
H  0.667  0.333  0.440
Pt  0.000  0.000  0.000
Pt  0.000  0.000  0.500